No. 1
First-principles (PBE) data for a geometry-optimized KLi2Tc structure, as listed in Alexandria via LeMat-Bulk.

Cell lengths 2.716, 2.716, 10.864 Å; angles 90.00, 90.00, 90.00 degrees
Positions (direct):
K1 0.500 0.500 0.723
Li1 0.500 0.500 0.273
Li2 0.000 0.000 0.039
Tc1 0.000 0.000 0.464

* final energy: -3.17 eV per atom
* ΔE to the lowest computed polymorph: 6 meV/atom
* mass density: 3.1 g/cm3
* size of the total moment: 0.0 μB per formula unit

No. 2
First-principles (PBE) data for a geometry-optimized TbScAgGe structure, as listed in Alexandria via LeMat-Bulk.

Cell lengths 4.957, 4.957, 4.957 Å; angles 60.00, 60.00, 60.00 degrees
Positions (direct):
Ge1 0.250 0.250 0.250
Tb1 0.000 0.000 0.000
Sc1 0.500 0.500 0.500
Ag1 0.750 0.750 0.750

* final energy: -5.11 eV per atom
* mass density: 7.4 g/cm3
* size of the total moment: 0.5 μB per formula unit

No. 3
First-principles (PBE) data for a geometry-optimized CaMg structure, as listed in Alexandria via LeMat-Bulk.

Cell lengths 4.666, 4.666, 4.666 Å; angles 60.00, 60.00, 60.00 degrees
Positions (direct):
Mg1 0.500 0.500 0.500
Ca1 0.000 0.000 0.000

* final energy: -1.56 eV per atom
* mass density: 1.5 g/cm3
* size of the total moment: 0.0 μB per formula unit

No. 4
First-principles (PBE) data for a geometry-optimized Tm2AlIn structure, as listed in Alexandria via LeMat-Bulk.

Cell lengths 3.558, 3.558, 9.678 Å; angles 79.41, 79.41, 60.00 degrees
Positions (direct):
Al1 0.000 0.000 0.000
Tm1 0.746 0.746 0.763
Tm2 0.254 0.254 0.237
In1 0.500 0.500 0.500

* final energy: -4.10 eV per atom
* mass density: 7.7 g/cm3
* size of the total moment: 0.0 μB per formula unit

No. 5
First-principles (PBE) data for a geometry-optimized K3CuHg2F9 structure, as listed in Alexandria via LeMat-Bulk.

Cell lengths 6.230, 6.230, 7.666 Å; angles 90.00, 90.00, 120.00 degrees
Positions (direct):
Cu1 0.000 0.000 0.500
Hg1 0.333 0.667 0.186
Hg2 0.667 0.333 0.814
F1 0.846 0.692 0.651
F2 0.500 0.500 0.000
F3 0.692 0.846 0.349
F4 0.154 0.308 0.349
F5 0.308 0.154 0.651
F6 0.154 0.846 0.349
F7 0.500 0.000 0.000
F8 0.000 0.500 0.000
F9 0.846 0.154 0.651
K1 0.667 0.333 0.329
K2 0.000 0.000 0.000
K3 0.333 0.667 0.671

* final energy: -3.65 eV per atom
* mass density: 4.9 g/cm3
* formation energy without anion corrections: -1.995 eV/atom
* size of the total moment: 1.0 μB per formula unit

No. 6
First-principles (PBE) data for a geometry-optimized LaZnGa2Ru structure, as listed in Alexandria via LeMat-Bulk.

Cell lengths 4.746, 4.746, 4.823 Å; angles 90.00, 90.00, 90.00 degrees
Positions (direct):
Ru1 0.000 0.000 0.000
Ga1 0.000 0.500 0.000
Ga2 0.500 0.000 0.000
Zn1 0.000 0.000 0.500
La1 0.500 0.500 0.500

* final energy: -4.72 eV per atom
* mass density: 6.8 g/cm3
* size of the total moment: 0.0 μB per formula unit

No. 7
First-principles (PBE) data for a geometry-optimized KTaV2 structure, as listed in Alexandria via LeMat-Bulk.

Cell lengths 4.672, 4.672, 9.542 Å; angles 75.83, 75.83, 90.00 degrees
Positions (direct):
V1 0.783 0.125 0.250
V2 0.967 0.625 0.250
V3 0.875 0.033 0.750
V4 0.375 0.217 0.750
K1 0.500 0.500 0.000
K2 0.250 0.750 0.500
Ta1 0.000 0.000 0.000
Ta2 0.750 0.250 0.500

* final energy: -5.96 eV per atom
* ΔE to the lowest computed polymorph: 335 meV/atom
* mass density: 5.5 g/cm3
* size of the total moment: 0.0 μB per formula unit

No. 8
First-principles (PBE) data for a geometry-optimized Cu3SbCl structure, as listed in Alexandria via LeMat-Bulk.

Cell lengths 4.921, 4.921, 4.921 Å; angles 90.00, 90.00, 90.00 degrees
Positions (direct):
Sb1 0.000 0.000 0.000
Cu1 0.000 0.500 0.000
Cu2 0.000 0.000 0.500
Cu3 0.500 0.000 0.000
Cl1 0.500 0.500 0.500

* final energy: -3.16 eV per atom
* ΔE to the lowest computed polymorph: 0 meV/atom
* mass density: 4.8 g/cm3
* formation energy without anion corrections: 0.490 eV/atom
* size of the total moment: 0.0 μB per formula unit

Question: Among the records above, which one has the lowest mass density?
Answer: CaMg

Question: What is the final energy in the second record?
Answer: -5.11 eV per atom

Question: The highest mass density belongs to which entry?
Answer: Tm2AlIn